GGA-PBE Ba4H2SN, relaxed; space-group type = P2/m, No. 10; electronic total energy = -4.131 eV per atom; Fermi-level density of states = 4.12 states/eV per cell
1.0
4.228 0.000 0.000
0.000 7.453 0.166
0.000 -2.562 6.846
Ba H S N
4 2 1 1
direct
0.500 0.276 0.236
0.500 0.724 0.764
0.000 0.277 0.767
0.000 0.723 0.233
0.500 0.000 0.500
0.000 0.500 0.500
0.000 0.000 0.000
0.500 0.500 0.000